(1)
{
  "formula": "Na14Hg2Se9",
  "functional": "PBE",
  "state": "optimized geometry",
  "lattice_angstrom": [[8.377, 0.000, 0.000], [-4.189, 7.255, 0.000], [0.000, 0.000, 11.628]],
  "species": ["Na", "Na", "Na", "Na", "Na", "Na", "Na", "Na", "Na", "Na", "Na", "Na", "Na", "Na", "Hg", "Hg", "Se", "Se", "Se", "Se", "Se", "Se", "Se", "Se", "Se"],
  "fractional_positions": [[0.000, 0.000, 0.249], [0.000, 0.000, 0.751], [0.017, 0.671, 0.409], [0.046, 0.371, 0.095], [0.325, 0.954, 0.095], [0.329, 0.345, 0.409], [0.345, 0.017, 0.591], [0.371, 0.325, 0.905], [0.629, 0.675, 0.095], [0.655, 0.983, 0.409], [0.671, 0.655, 0.591], [0.675, 0.046, 0.905], [0.954, 0.629, 0.905], [0.983, 0.329, 0.591], [0.333, 0.667, 0.754], [0.667, 0.333, 0.246], [0.000, 0.000, 0.500], [0.040, 0.345, 0.840], [0.305, 0.960, 0.840], [0.333, 0.667, 0.518], [0.345, 0.305, 0.160], [0.655, 0.695, 0.840], [0.667, 0.333, 0.482], [0.695, 0.040, 0.160], [0.960, 0.655, 0.160]],
  "total_energy_ev_per_atom": -2.959,
  "raw_formation_energy_mev_per_atom": -942,
  "crystal_system": "trigonal"
}

=====

(2)
{
  "formula": "NaHg3Se4",
  "functional": "PBE",
  "state": "optimized geometry",
  "lattice_angstrom": [[8.817, 0.000, 0.000], [0.000, 7.706, 0.000], [0.000, 0.000, 7.357]],
  "species": ["Na", "Na", "Hg", "Hg", "Hg", "Hg", "Hg", "Hg", "Se", "Se", "Se", "Se", "Se", "Se", "Se", "Se"],
  "fractional_positions": [[0.000, 0.164, 0.000], [0.500, 0.836, 0.500], [0.000, 0.819, 0.506], [0.248, 0.338, 0.512], [0.252, 0.662, 0.012], [0.500, 0.181, 0.006], [0.748, 0.662, 0.012], [0.752, 0.338, 0.512], [0.000, 0.157, 0.611], [0.000, 0.817, 0.142], [0.242, 0.659, 0.646], [0.258, 0.341, 0.146], [0.500, 0.183, 0.642], [0.500, 0.843, 0.111], [0.742, 0.341, 0.146], [0.758, 0.659, 0.646]],
  "total_energy_ev_per_atom": -2.293,
  "raw_formation_energy_mev_per_atom": -273,
  "dos_at_fermi_per_ev_atom": 0.7230,
  "crystal_system": "orthorhombic"
}

=====

(3)
{
  "formula": "NaHg2Se2",
  "functional": "PBE",
  "state": "optimized geometry",
  "lattice_angstrom": [[-2.103, 2.103, 7.550], [2.103, -2.103, 7.550], [2.103, 2.103, -7.550]],
  "species": ["Na", "Hg", "Hg", "Se", "Se"],
  "fractional_positions": [[0.000, 0.000, 0.000], [0.250, 0.750, 0.500], [0.750, 0.250, 0.500], [0.420, 0.420, 0.000], [0.580, 0.580, 0.000]],
  "total_energy_ev_per_atom": -2.048,
  "raw_formation_energy_mev_per_atom": -269,
  "dos_at_fermi_per_ev_atom": 0.6334,
  "crystal_system": "tetragonal"
}

=====

(4)
{
  "formula": "NaHg2Se",
  "functional": "PBE",
  "state": "optimized geometry",
  "lattice_angstrom": [[-4.593, 4.593, 2.725], [4.593, -4.593, 2.725], [4.593, 4.593, -2.725]],
  "species": ["Na", "Na", "Hg", "Hg", "Hg", "Hg", "Se", "Se"],
  "fractional_positions": [[0.000, 0.000, 0.000], [0.750, 0.250, 0.500], [0.185, 0.625, 0.060], [0.375, 0.435, 0.560], [0.565, 0.125, 0.940], [0.875, 0.815, 0.440], [0.250, 0.750, 0.500], [0.500, 0.500, 0.000]],
  "total_energy_ev_per_atom": -1.659,
  "raw_formation_energy_mev_per_atom": -307,
  "dos_at_fermi_per_ev_atom": 0.4850,
  "crystal_system": "tetragonal"
}

=====

(5)
{
  "formula": "Na3HgSe",
  "functional": "PBE",
  "state": "optimized geometry",
  "lattice_angstrom": [[7.262, 0.000, 0.000], [0.000, 4.440, 0.000], [-0.006, 0.000, 8.330]],
  "species": ["Na", "Na", "Na", "Na", "Na", "Na", "Hg", "Hg", "Se", "Se"],
  "fractional_positions": [[0.200, 0.250, 0.057], [0.200, 0.250, 0.443], [0.249, 0.750, 0.751], [0.751, 0.250, 0.249], [0.800, 0.750, 0.557], [0.800, 0.750, 0.943], [0.459, 0.750, 0.250], [0.541, 0.250, 0.750], [0.013, 0.750, 0.250], [0.987, 0.250, 0.750]],
  "total_energy_ev_per_atom": -2.167,
  "raw_formation_energy_mev_per_atom": -618,
  "dos_at_fermi_per_ev_atom": 0.2538,
  "crystal_system": "monoclinic"
}

=====

(6)
{
  "formula": "Na2HgSe2",
  "functional": "PBE",
  "state": "optimized geometry",
  "lattice_angstrom": [[-2.775, 2.775, 4.565], [2.775, -2.775, 4.565], [2.775, 2.775, -4.565]],
  "species": ["Na", "Na", "Hg", "Se", "Se"],
  "fractional_positions": [[0.250, 0.750, 0.500], [0.750, 0.250, 0.500], [0.000, 0.000, 0.000], [0.366, 0.366, 0.000], [0.634, 0.634, 0.000]],
  "total_energy_ev_per_atom": -2.615,
  "raw_formation_energy_mev_per_atom": -633,
  "dos_at_fermi_per_ev_atom": 0.0000,
  "crystal_system": "tetragonal"
}